The following is a GGA-PBE calculation of crystalline ZnAs4W at its relaxed geometry, from the Alexandria database.

Calculated values
E_tot in hartree per atom: -0.167
Calculated formation energy in eV per atom: 0.930
DOS at the Fermi energy in states/eV per cell: 3.1
Space group: F-43m (216)

a b c (Å): 5.399 5.399 5.399
angles (deg): 60.00 60.00 60.00
Element x y z (fractional)
Zn: 0.000 0.000 0.000
As: 0.129 0.624 0.624
As: 0.624 0.129 0.624
As: 0.624 0.624 0.129
As: 0.624 0.624 0.624
W: 0.250 0.250 0.250

---

The following is a GGA-PBE calculation of crystalline Ba4AgO at its relaxed geometry, from the Alexandria database.

Calculated values
E_tot in hartree per atom: -0.128
DOS at the Fermi energy in states/eV per cell: 10.1
Uncorrected formation energy in eV/atom: -0.8891
Space group: P2_1/m (11)

a b c (Å): 7.091 10.960 7.095
angles (deg): 90.00 97.63 90.00
Element x y z (fractional)
Ba: 0.170 0.250 0.286
Ba: 0.214 0.750 0.331
Ba: 0.282 0.051 0.782
Ba: 0.282 0.449 0.782
Ba: 0.718 0.551 0.218
Ba: 0.718 0.949 0.218
Ba: 0.786 0.250 0.669
Ba: 0.830 0.750 0.714
Ag: 0.392 0.750 0.893
Ag: 0.608 0.250 0.107
O: 0.138 0.250 0.637
O: 0.862 0.750 0.363

---

The following is a GGA-PBE calculation of crystalline Nd4ErGa2 at its relaxed geometry, from the Alexandria database.

Calculated values
E_tot in hartree per atom: -0.164
Calculated formation energy in eV per atom: -0.217
DOS at the Fermi energy in states/eV per cell: 16.7
Space group: P1 (1)

a b c (Å): 7.167 7.317 9.610
angles (deg): 90.35 107.69 117.69
Element x y z (fractional)
Nd: 0.000 0.000 0.000
Nd: 0.025 0.493 0.476
Nd: 0.323 0.942 0.775
Nd: 0.376 0.968 0.364
Nd: 0.423 0.466 0.295
Nd: 0.474 0.508 0.892
Nd: 0.819 0.212 0.721
Nd: 0.916 0.963 0.446
Er: 0.083 0.595 0.011
Er: 0.677 0.167 0.124
Ga: 0.407 0.312 0.587
Ga: 0.531 0.745 0.611
Ga: 0.836 0.646 0.703
Ga: 0.859 0.653 0.196

---

The following is a GGA-PBE calculation of crystalline CeSm2Zn at its relaxed geometry, from the Alexandria database.

Calculated values
E_tot in hartree per atom: -0.157
Calculated formation energy in eV per atom: -0.109
DOS at the Fermi energy in states/eV per cell: 6.6
Space group: P4/mmm (123)

a b c (Å): 3.595 3.595 8.545
angles (deg): 90.00 90.00 90.00
Element x y z (fractional)
Ce: 0.000 0.000 0.000
Sm: 0.500 0.500 0.285
Sm: 0.500 0.500 0.715
Zn: 0.000 0.000 0.500

---

The following is a GGA-PBE calculation of crystalline Be2TlAs at its relaxed geometry, from the Alexandria database.

Calculated values
E_tot in hartree per atom: -0.108
Calculated formation energy in eV per atom: 0.671
DOS at the Fermi energy in states/eV per cell: 1.3
Space group: C2/m (12)

a b c (Å): 4.367 4.367 3.991
angles (deg): 105.74 105.74 91.84
Element x y z (fractional)
Be: 0.000 0.500 0.000
Be: 0.500 0.000 0.000
Tl: 0.000 0.000 0.500
As: 0.500 0.500 0.500

---

The following is a GGA-PBE calculation of crystalline TmTcB4 at its relaxed geometry, from the Alexandria database.

Calculated values
E_tot in hartree per atom: -0.271
Calculated formation energy in eV per atom: -0.445
DOS at the Fermi energy in states/eV per cell: 1.7
Space group: Immm (71)

a b c (Å): 4.685 4.685 4.685
angles (deg): 140.87 110.49 82.77
Element x y z (fractional)
Tm: 0.000 0.000 0.000
Tc: 0.500 0.500 0.000
B: 0.085 0.750 0.336
B: 0.414 0.750 0.664
B: 0.586 0.250 0.336
B: 0.915 0.250 0.664

---

The following is a GGA-PBE calculation of crystalline PaTa3Tl2O12 at its relaxed geometry, from the Alexandria database.

Calculated values
E_tot in hartree per atom: -0.312
DOS at the Fermi energy in states/eV per cell: 14.2
Uncorrected formation energy in eV/atom: -2.4093
Space group: R-3m (166)

a b c (Å): 7.760 7.760 7.760
angles (deg): 58.55 58.55 58.55
Element x y z (fractional)
Pa: 0.000 0.000 0.000
Ta: 0.000 0.000 0.500
Ta: 0.000 0.500 0.000
Ta: 0.500 0.000 0.000
Tl: 0.328 0.328 0.328
Tl: 0.672 0.672 0.672
O: 0.059 0.697 0.697
O: 0.071 0.071 0.665
O: 0.071 0.665 0.071
O: 0.303 0.303 0.941
O: 0.303 0.941 0.303
O: 0.335 0.929 0.929
O: 0.665 0.071 0.071
O: 0.697 0.059 0.697
O: 0.697 0.697 0.059
O: 0.929 0.335 0.929
O: 0.929 0.929 0.335
O: 0.941 0.303 0.303

---

The following is a GGA-PBE calculation of crystalline NbTlTeS2 at its relaxed geometry, from the Alexandria database.

Calculated values
E_tot in hartree per atom: -0.147
DOS at the Fermi energy in states/eV per cell: 4.1
Uncorrected formation energy in eV/atom: 0.7727
Space group: P4/mmm (123)

a b c (Å): 5.295 5.295 5.334
angles (deg): 90.00 90.00 90.00
Element x y z (fractional)
Nb: 0.000 0.000 0.000
Tl: 0.500 0.500 0.000
Te: 0.000 0.000 0.500
S: 0.000 0.500 0.500
S: 0.500 0.000 0.500

---

The following is a GGA-PBE calculation of crystalline CaAsPd2 at its relaxed geometry, from the Alexandria database.

Calculated values
E_tot in hartree per atom: -0.182
Calculated formation energy in eV per atom: -0.696
DOS at the Fermi energy in states/eV per cell: 4.8
Space group: Pmmn (59)

a b c (Å): 4.457 5.720 6.029
angles (deg): 90.00 90.00 90.00
Element x y z (fractional)
Ca: 0.250 0.250 0.114
Ca: 0.750 0.750 0.886
As: 0.250 0.750 0.276
As: 0.750 0.250 0.724
Pd: 0.250 0.010 0.636
Pd: 0.250 0.490 0.636
Pd: 0.750 0.510 0.364
Pd: 0.750 0.990 0.364

---

The following is a GGA-PBE calculation of crystalline NbCrNi at its relaxed geometry, from the Alexandria database.

Calculated values
E_tot in hartree per atom: -0.316
Calculated formation energy in eV per atom: -0.118
DOS at the Fermi energy in states/eV per cell: 15.1
Space group: Amm2 (38)

a b c (Å): 7.889 4.920 4.920
angles (deg): 58.20 90.00 90.00
Element x y z (fractional)
Nb: 0.189 0.000 0.000
Nb: 0.310 0.673 0.673
Nb: 0.690 0.673 0.673
Nb: 0.811 0.000 0.000
Cr: 0.000 0.005 0.503
Cr: 0.000 0.503 0.005
Cr: 0.249 0.336 0.336
Cr: 0.751 0.336 0.336
Ni: 0.000 0.512 0.512
Ni: 0.500 0.166 0.671
Ni: 0.500 0.167 0.167
Ni: 0.500 0.671 0.166

---

The following is a GGA-PBE calculation of crystalline Hf2CuRh2 at its relaxed geometry, from the Alexandria database.

Calculated values
E_tot in hartree per atom: -0.299
Calculated formation energy in eV per atom: -0.388
DOS at the Fermi energy in states/eV per cell: 5.9
Space group: P4/mbm (127)

a b c (Å): 7.662 7.662 3.066
angles (deg): 90.00 90.00 90.00
Element x y z (fractional)
Hf: 0.155 0.345 0.000
Hf: 0.345 0.845 0.000
Hf: 0.655 0.155 0.000
Hf: 0.845 0.655 0.000
Cu: 0.000 0.000 0.000
Cu: 0.500 0.500 0.000
Rh: 0.141 0.641 0.500
Rh: 0.359 0.141 0.500
Rh: 0.641 0.859 0.500
Rh: 0.859 0.359 0.500

---

The following is a GGA-PBE calculation of crystalline AcPmNdGe at its relaxed geometry, from the Alexandria database.

Calculated values
E_tot in hartree per atom: -0.169
Calculated formation energy in eV per atom: -0.046
DOS at the Fermi energy in states/eV per cell: 6.1
Space group: F-43m (216)

a b c (Å): 5.533 5.533 5.533
angles (deg): 60.00 60.00 60.00
Element x y z (fractional)
Ac: 0.000 0.000 0.000
Pm: 0.250 0.250 0.250
Nd: 0.750 0.750 0.750
Ge: 0.500 0.500 0.500

---

Q: Number 10 is which compound?
A: NbCrNi